A plane-wave DFT calculation with PBE-GGA was carried out for Rb2CoBr4 after structural relaxation.

Cell: 5.2390 5.2390 17.1242 Å, 90.00 90.00 90.00°
With the nearest neighbours (Å) after each atom.
Space group I4/mmm (No. 139)
Inequivalent atoms, fractional coordinates:
1 Rb 0.0000 0.0000 0.1412 x4  9 Br 3.52-3.71
2 Co 0.0000 0.0000 0.5000 x2  6 Br 2.62
3 Br 0.0000 0.0000 0.3468 x4  1 Co 2.62
4 Br 0.0000 0.5000 0.0000 x4  2 Co 2.62

Calculated values
Energy relative to the elements, uncorrected, eV per atom: -1.065
Mass density, g cm⁻³: 3.9
Energy, eV/atom: -3.313
Size of the total moment, μB/cell: 5.86